Entry 1:
This record from the Alexandria database describes crystalline SrAsPt2 at its relaxed geometry. The functional is GGA-PBE.

a = 5.4648 Å, b = 5.4648 Å, c = 5.4648 Å
α = 141.21°, β = 125.17°, γ = 69.18°
Closest atoms and distances in Å follow each position.
Element x y z (fractional)
Sr 0.0000 0.0000 0.0000  4 As 3.10, 8 Pt 3.14-3.19
As 0.5000 0.5000 0.0000  4 Pt 2.61
Pt 0.2914 0.7914 0.5000  2 As 2.61
Pt 0.7086 0.2086 0.5000  2 As 2.61

Results
Total moment ... 0.00 μB/f.u.
ΔE_f ... -0.3340 eV/atom
DOS(E_F) ... 0.88 states/eV per atom
Symmetry ... Immm, No. 71

Entry 2:
This record from the Alexandria database describes crystalline AlCuNi at its relaxed geometry. The functional is GGA-PBE.

a = 4.0757 Å, b = 4.0757 Å, c = 5.1603 Å
α = 90.00°, β = 90.00°, γ = 119.46°
Closest atoms and distances in Å follow each position.
Element x y z (fractional)
Al 0.0000 0.0000 0.0000  2 Al 2.58, 6 Ni 2.67-2.70, 6 Cu 2.68-2.69
Al 0.0000 0.0000 0.5000  2 Al 2.58, 6 Ni 2.67-2.70, 6 Cu 2.68-2.69
Cu 0.3333 0.6667 0.7500  5 Ni 2.36-2.58
Cu 0.6667 0.3333 0.2500  5 Ni 2.36-2.58
Ni 0.3322 0.6678 0.2500  5 Cu 2.36-2.58
Ni 0.6678 0.3322 0.7500  5 Cu 2.36-2.58

Results
Total moment ... 0.00 μB/f.u.
ΔE_f ... -0.2333 eV/atom
DOS(E_F) ... 0.49 states/eV per atom
Energy above the most stable polymorph in this dataset ... 0.169 eV/atom
Symmetry ... Cmcm, No. 63

Entry 3:
This record from the Alexandria database describes crystalline La4Ce3TmN8 at its relaxed geometry. The functional is GGA-PBE.

a = 7.2807 Å, b = 7.2807 Å, c = 7.2807 Å
α = 59.53°, β = 59.53°, γ = 59.53°
Closest atoms and distances in Å follow each position.
Element x y z (fractional)
La 0.0000 0.0000 0.0000  6 N 2.66
La 0.0000 0.5000 0.5000  6 N 2.65
La 0.5000 0.0000 0.5000  6 N 2.65
La 0.5000 0.5000 0.0000  6 N 2.65
Ce 0.0000 0.0000 0.5000  6 N 2.48-2.49
Ce 0.0000 0.5000 0.0000  6 N 2.48-2.49
Ce 0.5000 0.0000 0.0000  6 N 2.48-2.49
Tm 0.5000 0.5000 0.5000  6 N 2.48
N 0.2418 0.2418 0.2418  3 Ce 2.48, 3 La 2.65
N 0.2431 0.7414 0.7414  1 Tm 2.48, 2 Ce 2.49, 3 La 2.65-2.66
N 0.2586 0.2586 0.7569  1 Tm 2.48, 2 Ce 2.49, 3 La 2.65-2.66
N 0.2586 0.7569 0.2586  1 Tm 2.48, 2 Ce 2.49, 3 La 2.65-2.66
N 0.7414 0.2431 0.7414  1 Tm 2.48, 2 Ce 2.49, 3 La 2.65-2.66
N 0.7414 0.7414 0.2431  1 Tm 2.48, 2 Ce 2.49, 3 La 2.65-2.66
N 0.7569 0.2586 0.2586  1 Tm 2.48, 2 Ce 2.49, 3 La 2.65-2.66
N 0.7582 0.7582 0.7582  3 Ce 2.48, 3 La 2.65

Results
Total moment ... 0.00 μB/f.u.
DOS(E_F) ... 0.50 states/eV per atom
Uncorrected formation energy ... -1.447 eV per atom
Symmetry ... R-3m, No. 166

Entry 4:
This record from the Alexandria database describes crystalline Ta2AgCl at its relaxed geometry. The functional is GGA-PBE.

a = 2.9425 Å, b = 2.9425 Å, c = 9.3589 Å
α = 90.00°, β = 90.00°, γ = 104.09°
Closest atoms and distances in Å follow each position.
Element x y z (fractional)
Ta 0.0000 0.0000 0.0000  2 Cl 2.62, 2 Ta 2.82
Ta 0.5000 0.5000 0.2305  6 Ta 2.82-2.94, 2 Ag 2.86
Ag 0.0000 0.0000 0.4672  2 Ta 2.86, 4 Ag 2.94
Cl 0.5000 0.5000 0.7979  2 Ta 2.62

Results
Total moment ... 0.00 μB/f.u.
DOS(E_F) ... 0.72 states/eV per atom
Uncorrected formation energy ... -0.003 eV per atom
Energy above the most stable polymorph in this dataset ... 0.049 eV/atom
Symmetry ... Cmm2, No. 35

Entry 5:
This record from the Alexandria database describes crystalline SmHoMgGe at its relaxed geometry. The functional is GGA-PBE.

a = 5.1709 Å, b = 5.1709 Å, c = 5.1709 Å
α = 60.00°, β = 60.00°, γ = 60.00°
Closest atoms and distances in Å follow each position.
Element x y z (fractional)
Sm 0.0000 0.0000 0.0000  4 Mg 3.17, 4 Ge 3.17
Ho 0.5000 0.5000 0.5000  4 Mg 3.17, 4 Ge 3.17
Mg 0.7500 0.7500 0.7500  4 Sm 3.17, 4 Ho 3.17
Ge 0.2500 0.2500 0.2500  4 Ho 3.17, 4 Sm 3.17

Results
Total moment ... 0.00 μB/f.u.
ΔE_f ... -0.3548 eV/atom
DOS(E_F) ... 0.89 states/eV per atom
Symmetry ... F-43m, No. 216

Entry 6:
This record from the Alexandria database describes crystalline KMnB3 at its relaxed geometry. The functional is GGA-PBE.

a = 4.0048 Å, b = 4.0048 Å, c = 4.0048 Å
α = 90.00°, β = 90.00°, γ = 90.00°
Closest atoms and distances in Å follow each position.
Element x y z (fractional)
K 0.0000 0.0000 0.0000  12 B 2.83
Mn 0.5000 0.5000 0.5000  6 B 2.00
B 0.0000 0.5000 0.5000  2 Mn 2.00
B 0.5000 0.0000 0.5000  2 Mn 2.00
B 0.5000 0.5000 0.0000  2 Mn 2.00

Results
Total moment ... 0.42 μB/f.u.
ΔE_f ... 0.7771 eV/atom
DOS(E_F) ... 0.28 states/eV per atom
Energy above the most stable polymorph in this dataset ... 0.000 eV/atom
Symmetry ... Pm-3m, No. 221

Entry 7:
This record from the Alexandria database describes crystalline SiSbW2 at its relaxed geometry. The functional is GGA-PBE.

a = 4.8615 Å, b = 4.8615 Å, c = 4.7631 Å
α = 106.39°, β = 106.39°, γ = 38.73°
Closest atoms and distances in Å follow each position.
Element x y z (fractional)
Si 0.0000 0.0000 0.0000  5 W 2.61-2.74
Sb 0.7625 0.7625 0.3569  7 W 2.67-2.96, 2 Si 2.97
W 0.2652 0.2652 0.8788  3 Si 2.61-2.66, 2 Sb 2.80, 2 W 2.87
W 0.5152 0.5152 0.5435  3 Sb 2.67-2.74, 2 Si 2.74, 2 W 2.87

Results
Total moment ... 0.00 μB/f.u.
DOS(E_F) ... 0.70 states/eV per atom
Uncorrected formation energy ... 0.314 eV per atom
Energy above the most stable polymorph in this dataset ... 0.147 eV/atom
Symmetry ... Cm, No. 8

Entry 8:
This record from the Alexandria database describes crystalline Rb2AlZnI6 at its relaxed geometry. The functional is GGA-PBE.

a = 8.2096 Å, b = 8.2096 Å, c = 8.2096 Å
α = 120.23°, β = 120.23°, γ = 89.61°
Closest atoms and distances in Å follow each position.
Element x y z (fractional)
Rb 0.2500 0.7500 0.5000  12 I 4.09-4.11
Rb 0.7500 0.2500 0.5000  12 I 4.09-4.11
Al 0.0000 0.0000 0.0000  6 I 2.84
Zn 0.5000 0.5000 0.0000  6 I 2.94-2.98
I 0.2441 0.2441 0.0000  1 Al 2.84, 1 Zn 2.98
I 0.2457 0.2457 0.4913  1 Al 2.84, 1 Zn 2.94
I 0.2457 0.7543 0.0000  1 Al 2.84, 1 Zn 2.94
I 0.7543 0.2457 0.0000  1 Al 2.84, 1 Zn 2.94
I 0.7543 0.7543 0.5087  1 Al 2.84, 1 Zn 2.94
I 0.7559 0.7559 0.0000  1 Al 2.84, 1 Zn 2.98

Results
Total moment ... 0.00 μB/f.u.
DOS(E_F) ... 0.16 states/eV per atom
Uncorrected formation energy ... -0.836 eV per atom
Symmetry ... I4/mmm, No. 139

Entry 9:
This record from the Alexandria database describes crystalline NdHo3S6 at its relaxed geometry. The functional is GGA-PBE.

a = 11.0569 Å, b = 3.9802 Å, c = 11.3287 Å
α = 90.00°, β = 108.75°, γ = 90.00°
Closest atoms and distances in Å follow each position.
Element x y z (fractional)
Nd 0.0483 0.2500 0.1942  8 S 2.90-3.04
Nd 0.9517 0.7500 0.8058  8 S 2.90-3.04
Ho 0.1610 0.2500 0.5864  6 S 2.65-2.79
Ho 0.3195 0.7500 0.9980  7 S 2.69-2.92
Ho 0.4398 0.2500 0.3324  6 S 2.67-2.77
Ho 0.5602 0.7500 0.6676  6 S 2.67-2.77
Ho 0.6805 0.2500 0.0020  7 S 2.69-2.92
Ho 0.8390 0.7500 0.4136  6 S 2.65-2.79
S 0.0822 0.7500 0.4056  3 Ho 2.72-2.79, 2 Nd 3.04
S 0.1174 0.2500 0.9633  3 Nd 2.90-2.95, 2 Ho 2.92
S 0.1960 0.7500 0.7489  3 Ho 2.65-2.71
S 0.2634 0.7500 0.2272  3 Ho 2.77-2.86, 2 Nd 3.03
S 0.3955 0.2500 0.5595  4 Ho 2.71-2.77
S 0.4776 0.2500 0.1115  4 Ho 2.67-2.89
S 0.5224 0.7500 0.8885  4 Ho 2.67-2.89
S 0.6045 0.7500 0.4405  4 Ho 2.71-2.77
S 0.7366 0.2500 0.7728  3 Ho 2.77-2.86, 2 Nd 3.03
S 0.8040 0.2500 0.2511  3 Ho 2.65-2.71
S 0.8826 0.7500 0.0367  3 Nd 2.90-2.95, 2 Ho 2.92
S 0.9178 0.2500 0.5944  3 Ho 2.72-2.79, 2 Nd 3.04

Results
Total moment ... 0.00 μB/f.u.
Uncorrected formation energy ... -2.089 eV per atom
Symmetry ... P2_1/m, No. 11

Entry 10:
This record from the Alexandria database describes crystalline RbNdHo4Se8 at its relaxed geometry. The functional is GGA-PBE.

a = 8.7399 Å, b = 8.7399 Å, c = 8.7399 Å
α = 58.84°, β = 58.84°, γ = 58.84°
Closest atoms and distances in Å follow each position.
Element x y z (fractional)
Rb 0.0000 0.0000 0.0000  4 Se 3.01-3.04
Nd 0.6360 0.6360 0.6360  6 Se 2.88-3.10
Ho 0.1174 0.6346 0.6346  6 Se 2.77-3.03
Ho 0.2563 0.2563 0.2563  4 Se 2.78-2.84
Ho 0.6346 0.1174 0.6346  6 Se 2.77-3.03
Ho 0.6346 0.6346 0.1174  6 Se 2.77-3.03
Se 0.3839 0.3839 0.8618  3 Ho 2.78-3.03, 1 Nd 3.10
Se 0.3839 0.8618 0.3839  3 Ho 2.78-3.03, 1 Nd 3.10
Se 0.3876 0.3876 0.3876  4 Ho 2.84-3.03
Se 0.4308 0.8699 0.8699  2 Ho 2.77, 1 Nd 2.88, 1 Rb 3.04
Se 0.8606 0.8606 0.8606  3 Ho 2.78, 1 Rb 3.01
Se 0.8618 0.3839 0.3839  3 Ho 2.78-3.03, 1 Nd 3.10
Se 0.8699 0.4308 0.8699  2 Ho 2.77, 1 Nd 2.88, 1 Rb 3.04
Se 0.8699 0.8699 0.4308  2 Ho 2.77, 1 Nd 2.88, 1 Rb 3.04

Results
Total moment ... 0.00 μB/f.u.
DOS(E_F) ... 0.00 states/eV per atom
Uncorrected formation energy ... -1.712 eV per atom
Symmetry ... R3m, No. 160

Entry 11:
This record from the Alexandria database describes crystalline V9Ni4Pt11 at its relaxed geometry. The functional is GGA-PBE.

a = 9.8809 Å, b = 9.8809 Å, c = 3.8029 Å
α = 90.00°, β = 90.00°, γ = 113.06°
Closest atoms and distances in Å follow each position.
Element x y z (fractional)
V 0.0000 0.0000 0.0000  4 Ni 2.23
V 0.1290 0.6249 0.0000  1 Ni 2.54, 3 V 2.68-2.82, 8 Pt 2.68-2.75
V 0.2908 0.4445 0.0000  1 Ni 2.51, 1 V 2.53, 8 Pt 2.70-2.79
V 0.3751 0.8710 0.0000  1 Ni 2.54, 3 V 2.68-2.82, 8 Pt 2.68-2.75
V 0.4445 0.2908 0.0000  1 Ni 2.51, 1 V 2.53, 8 Pt 2.70-2.79
V 0.5555 0.7092 0.0000  1 Ni 2.51, 1 V 2.53, 8 Pt 2.70-2.79
V 0.6249 0.1290 0.0000  1 Ni 2.54, 3 V 2.68-2.82, 8 Pt 2.68-2.75
V 0.7092 0.5555 0.0000  1 Ni 2.51, 1 V 2.53, 8 Pt 2.70-2.79
V 0.8710 0.3751 0.0000  1 Ni 2.54, 3 V 2.68-2.82, 8 Pt 2.68-2.75
Ni 0.0412 0.2384 0.0000  1 V 2.23
Ni 0.2384 0.0412 0.0000  1 V 2.23
Ni 0.7616 0.9588 0.0000  1 V 2.23
Ni 0.9588 0.7616 0.0000  1 V 2.23
Pt 0.0849 0.4202 0.5000  2 Ni 2.53, 6 V 2.68-2.75, 4 Pt 2.70-2.77
Pt 0.1664 0.8336 0.5000  4 Ni 2.68, 4 V 2.72, 3 Pt 2.75-2.79
Pt 0.2323 0.2323 0.5000  4 Ni 2.70, 4 V 2.72, 3 Pt 2.77-2.92
Pt 0.3356 0.6644 0.5000  4 Pt 2.70-2.79, 8 V 2.70-2.79
Pt 0.4202 0.0849 0.5000  2 Ni 2.53, 6 V 2.68-2.75, 4 Pt 2.70-2.77
Pt 0.5000 0.5000 0.5000  8 V 2.70, 4 Pt 2.71-2.92
Pt 0.5798 0.9151 0.5000  2 Ni 2.53, 6 V 2.68-2.75, 4 Pt 2.70-2.77
Pt 0.6644 0.3356 0.5000  4 Pt 2.70-2.79, 8 V 2.70-2.79
Pt 0.7677 0.7677 0.5000  4 Ni 2.70, 4 V 2.72, 3 Pt 2.77-2.92
Pt 0.8336 0.1664 0.5000  4 Ni 2.68, 4 V 2.72, 3 Pt 2.75-2.79
Pt 0.9151 0.5798 0.5000  2 Ni 2.53, 6 V 2.68-2.75, 4 Pt 2.70-2.77

Results
Total moment ... 0.67 μB/f.u.
ΔE_f ... -0.3454 eV/atom
DOS(E_F) ... 0.99 states/eV per atom
Symmetry ... Cmmm, No. 65

Entry 12:
This record from the Alexandria database describes crystalline MnNiSb3 at its relaxed geometry. The functional is GGA-PBE.

a = 4.9228 Å, b = 4.9228 Å, c = 4.9228 Å
α = 90.00°, β = 90.00°, γ = 90.00°
Closest atoms and distances in Å follow each position.
Element x y z (fractional)
Mn 0.0000 0.0000 0.0000  6 Sb 2.46
Ni 0.5000 0.5000 0.5000  12 Sb 3.48
Sb 0.0000 0.0000 0.5000  2 Mn 2.46
Sb 0.0000 0.5000 0.0000  2 Mn 2.46
Sb 0.5000 0.0000 0.0000  2 Mn 2.46

Results
Total moment ... 1.62 μB/f.u.
DOS(E_F) ... 0.54 states/eV per atom
Uncorrected formation energy ... 0.705 eV per atom
Energy above the most stable polymorph in this dataset ... 0.000 eV/atom
Symmetry ... Pm-3m, No. 221

Entry 13:
This record from the Alexandria database describes crystalline Th2ZrAg at its relaxed geometry. The functional is GGA-PBE.

a = 12.0395 Å, b = 12.0395 Å, c = 12.0395 Å
α = 15.76°, β = 15.76°, γ = 15.76°
Closest atoms and distances in Å follow each position.
Element x y z (fractional)
Th 0.0879 0.0879 0.0879  1 Ag 3.14, 6 Th 3.30, 3 Zr 3.39
Th 0.9121 0.9121 0.9121  1 Ag 3.14, 6 Th 3.30, 3 Zr 3.39
Zr 0.5000 0.5000 0.5000  6 Zr 3.30, 6 Th 3.39
Ag 0.0000 0.0000 0.0000  2 Th 3.14, 6 Ag 3.30

Results
Total moment ... 0.00 μB/f.u.
ΔE_f ... 0.3456 eV/atom
DOS(E_F) ... 1.60 states/eV per atom
Energy above the most stable polymorph in this dataset ... 0.309 eV/atom
Symmetry ... R-3m, No. 166

Entry 14:
This record from the Alexandria database describes crystalline BiB2O4 at its relaxed geometry. The functional is GGA-PBE.

a = 9.2670 Å, b = 8.1612 Å, c = 6.3282 Å
α = 78.40°, β = 59.62°, γ = 41.98°
Closest atoms and distances in Å follow each position.
Element x y z (fractional)
Bi 0.1250 0.1250 0.1250  4 O 2.38
Bi 0.8750 0.8750 0.8750  4 O 2.38
B 0.0000 0.5000 0.5000  2 O 1.27
B 0.5000 0.0000 0.5000  2 O 1.27
B 0.5000 0.5000 0.0000  2 O 1.27
B 0.5000 0.5000 0.5000  2 O 1.27
O 0.0019 0.5314 0.6868  1 B 1.27
O 0.2799 0.6868 0.5314  1 B 1.27
O 0.3132 0.7201 0.9981  1 B 1.27
O 0.4686 0.9981 0.7201  1 B 1.27
O 0.5314 0.0019 0.2799  1 B 1.27
O 0.6868 0.2799 0.0019  1 B 1.27
O 0.7201 0.3132 0.4686  1 B 1.27
O 0.9981 0.4686 0.3132  1 B 1.27

Results
Total moment ... 1.00 μB/f.u.
Uncorrected formation energy ... -1.580 eV per atom
Energy above the most stable polymorph in this dataset ... 0.121 eV/atom
Symmetry ... Fddd, No. 70

Entry 15:
This record from the Alexandria database describes crystalline TcPtPb at its relaxed geometry. The functional is GGA-PBE.

a = 4.5070 Å, b = 4.5070 Å, c = 4.5070 Å
α = 60.00°, β = 60.00°, γ = 60.00°
Closest atoms and distances in Å follow each position.
Element x y z (fractional)
Tc 0.0000 0.0000 0.0000  4 Pt 2.76
Pt 0.7500 0.7500 0.7500  4 Pb 2.76, 4 Tc 2.76
Pb 0.5000 0.5000 0.5000  4 Pt 2.76

Results
Total moment ... 3.01 μB/f.u.
ΔE_f ... 0.4536 eV/atom
DOS(E_F) ... 0.49 states/eV per atom
Energy above the most stable polymorph in this dataset ... 0.051 eV/atom
Symmetry ... F-43m, No. 216

Entry 16:
This record from the Alexandria database describes crystalline Ac2Pm2Pr5 at its relaxed geometry. The functional is GGA-PBE.

a = 10.6652 Å, b = 10.6652 Å, c = 10.6652 Å
α = 85.64°, β = 106.14°, γ = 142.94°
Closest atoms and distances in Å follow each position.
Element x y z (fractional)
Ac 0.0000 0.0000 0.0000  4 Pr 3.49-3.67, 2 Pm 3.73
Ac 0.0000 0.5000 0.5000  4 Pr 3.49-3.67, 2 Pm 3.73
Ac 0.0462 0.8142 0.7320  4 Pr 3.64-3.95, 2 Pm 3.77, 2 Ac 3.94
Ac 0.0822 0.3142 0.2680  4 Pr 3.64-3.95, 2 Pm 3.77, 2 Ac 3.94
Pm 0.4991 0.6374 0.0943  4 Pr 3.47-3.79, 1 Pm 3.68, 2 Ac 3.73-3.77
Pm 0.4991 0.9048 0.3617  4 Pr 3.47-3.79, 1 Pm 3.68, 2 Ac 3.73-3.77
Pm 0.5431 0.1374 0.6383  4 Pr 3.47-3.79, 1 Pm 3.68, 2 Ac 3.73-3.77
Pm 0.5431 0.4048 0.9057  4 Pr 3.47-3.79, 1 Pm 3.68, 2 Ac 3.73-3.77
Pr 0.0272 0.1980 0.7167  5 Pr 3.35-3.63, 1 Ac 3.49
Pr 0.0272 0.8106 0.3292  5 Pr 3.35-3.63, 1 Ac 3.49
Pr 0.1051 0.5324 0.8624  4 Pr 3.29-3.49, 2 Pm 3.49-3.56, 2 Ac 3.64-3.67
Pr 0.1051 0.7426 0.0727  4 Pr 3.29-3.49, 2 Pm 3.49-3.56, 2 Ac 3.64-3.67
Pr 0.3483 0.2924 0.5558  2 Pm 3.47, 6 Pr 3.50-3.68, 1 Ac 3.69
Pr 0.4814 0.3106 0.2833  5 Pr 3.35-3.63, 1 Ac 3.49
Pr 0.4814 0.6980 0.6708  5 Pr 3.35-3.63, 1 Ac 3.49
Pr 0.6699 0.0324 0.9273  4 Pr 3.29-3.49, 2 Pm 3.49-3.56, 2 Ac 3.64-3.67
Pr 0.6699 0.2426 0.1376  4 Pr 3.29-3.49, 2 Pm 3.49-3.56, 2 Ac 3.64-3.67
Pr 0.7366 0.7924 0.4442  2 Pm 3.47, 6 Pr 3.50-3.68, 1 Ac 3.69

Results
Total moment ... 0.00 μB/f.u.
ΔE_f ... 0.1771 eV/atom
DOS(E_F) ... 1.43 states/eV per atom
Energy above the most stable polymorph in this dataset ... 0.083 eV/atom
Symmetry ... Ima2, No. 46